A relaxed Sr3NbN4 crystal, computed with PBE.

Results
Density = 4.0 g cm⁻³
Calculated total energy = -6.831 eV per atom

The structure in CIF format:
```
data_Sr3NbN4
_cell_length_a 9.0308
_cell_length_b 8.0067
_cell_length_c 9.4613
_cell_angle_alpha 90.00
_cell_angle_beta 90.00
_cell_angle_gamma 90.00
_symmetry_space_group_name_H-M 'P n m a'
_symmetry_Int_Tables_number 62
loop_
_symmetry_equiv_pos_as_xyz
'x,y,z'
'-x,-y,-z'
'-x+1/2,-y,z+1/2'
'x+1/2,y,-z+1/2'
'x+1/2,-y+1/2,-z+1/2'
'-x+1/2,y+1/2,z+1/2'
'-x,y+1/2,-z'
'x,-y+1/2,z'
loop_
_atom_site_label
_atom_site_type_symbol
_atom_site_fract_x
_atom_site_fract_y
_atom_site_fract_z
Sr1 Sr 0.9998 0.9997 0.1932
Sr2 Sr 0.1815 0.2500 0.4993
Nb1 Nb 0.1854 0.7500 0.5004
N1 N 0.0453 0.7500 0.3416
N2 N 0.0457 0.7500 0.6595
N3 N 0.1961 0.0400 0.0002
```